Ba2CrReN4 | PBE | optimized geometry

a b c (Å): 4.9854 6.3337 10.3219
angles (deg): 84.55 76.03 66.82
Last column: nearest neighbours and their distance in Å.
Fractional coordinates of all 16 atoms:
Ba 0.1727 0.0000 0.6546  8 N 2.93-3.23
Ba 0.8273 0.0000 0.3454  8 N 2.93-3.23
Ba 0.5773 0.5000 0.8454  8 N 2.93-3.23
Ba 0.9227 0.5000 0.1546  8 N 2.93-3.23
Cr 0.7500 0.5000 0.5000  4 N 1.84
Cr 0.0000 0.0000 0.0000  4 N 1.84
Re 0.2500 0.5000 0.5000  4 N 1.96
Re 0.5000 0.0000 0.0000  4 N 1.96
N 0.2733 0.8196 0.0977  1 Cr 1.84, 1 Re 1.96
N 0.1905 0.1804 0.9023  1 Cr 1.84, 1 Re 1.96
N 0.9072 0.8196 0.9023  1 Cr 1.84, 1 Re 1.96
N 0.6290 0.1804 0.0977  1 Cr 1.84, 1 Re 1.96
N 0.4767 0.6804 0.4023  1 Cr 1.84, 1 Re 1.96
N 0.5595 0.3196 0.5977  1 Cr 1.84, 1 Re 1.96
N 0.8428 0.6804 0.5977  1 Cr 1.84, 1 Re 1.96
N 0.1209 0.3196 0.4023  1 Cr 1.84, 1 Re 1.96

E ... -0.5862 Ry per atom
Formation energy without anion corrections ... -0.573 eV per atom
Size of the total moment ... 0.0 Bohr magnetons per cell

***

BaCrS2N | PBE | optimized geometry

a b c (Å): 5.0310 5.0310 3.7296
angles (deg): 90.00 90.00 90.00
Last column: nearest neighbours and their distance in Å.
Fractional coordinates of all 5 atoms:
Cr 0.0000 0.0000 0.0000  2 N 1.86
S 0.0000 0.5000 0.0000  2 Cr 2.52
S 0.5000 0.0000 0.0000  2 Cr 2.52
Ba 0.5000 0.5000 0.5000  8 S 3.13
N 0.0000 0.0000 0.5000  2 Cr 1.86

E ... -0.4671 Ry per atom
Formation energy without anion corrections ... -0.731 eV per atom
Size of the total moment ... 1.1 Bohr magnetons per cell

***

BaCrSN2 | PBE | optimized geometry

a b c (Å): 4.0536 4.0536 4.9664
angles (deg): 90.00 90.00 90.00
Last column: nearest neighbours and their distance in Å.
Fractional coordinates of all 5 atoms:
Cr 0.0000 0.0000 0.0000  4 N 2.03
S 0.0000 0.0000 0.5000  2 Cr 2.48
Ba 0.5000 0.5000 0.5000  4 S 2.87, 8 N 3.21
N 0.0000 0.5000 0.0000  2 Cr 2.03
N 0.5000 0.0000 0.0000  2 Cr 2.03

E ... -0.4879 Ry per atom
Formation energy without anion corrections ... -0.174 eV per atom
Size of the total moment ... 0.0 Bohr magnetons per cell

***

BaCrS2N | PBE | optimized geometry

a b c (Å): 5.7441 5.7441 4.5947
angles (deg): 90.00 90.00 90.00
Last column: nearest neighbours and their distance in Å.
Fractional coordinates of all 5 atoms:
Cr 0.5000 0.5000 0.5000  8 S 3.68, 4 N 4.06
S 0.0000 0.5000 0.0000  2 Ba 2.87
S 0.5000 0.0000 0.0000  2 Ba 2.87
Ba 0.0000 0.0000 0.0000  2 N 2.30
N 0.0000 0.0000 0.5000  2 Ba 2.30

E ... -0.3150 Ry per atom
Formation energy without anion corrections ... 1.339 eV per atom
Size of the total moment ... 4.1 Bohr magnetons per cell